# 1
Here is an optimized crystal structure of CaHfI3 from Alexandria via LeMat-Bulk. Energies are from PBE. Values from VASP.

Cell and atoms, written as Quantum ESPRESSO input:
```
&SYSTEM
  ibrav = 0, nat = 5, ntyp = 3
/
ATOMIC_SPECIES
I 126.90 I.upf
Ca 40.08 Ca.upf
Hf 178.49 Hf.upf
ATOMIC_POSITIONS angstrom
I -2.412 -1.009 -1.119
I 1.341 -2.402 -0.722
I -0.689 -1.140 2.513
Ca -1.760 -4.552 0.671
Hf 0.000 0.000 0.000
CELL_PARAMETERS angstrom
-1.378 -2.280 5.025
-4.824 -2.019 -2.239
2.681 -4.804 -1.445
```

Summary:
- Formation energy without anion corrections: -0.2707 eV per atom
- Energy relative to the lowest polymorph listed for this composition: 0.0 meV per atom

---

# 2
Here is an optimized crystal structure of CuRhS2 from Alexandria via LeMat-Bulk. Energies are from PBE. Values from VASP.

Cell and atoms, written as Quantum ESPRESSO input:
```
&SYSTEM
  ibrav = 0, nat = 8, ntyp = 3
/
ATOMIC_SPECIES
S 32.06 S.upf
Rh 102.91 Rh.upf
Cu 63.55 Cu.upf
ATOMIC_POSITIONS angstrom
S -2.040 3.181 1.771
S 1.665 4.605 0.799
S 1.618 1.564 2.463
S 3.048 0.083 0.108
Rh 2.469 2.384 0.423
Rh -2.845 5.402 2.145
Cu -0.283 2.471 3.070
Cu 0.887 5.096 2.903
CELL_PARAMETERS angstrom
6.450 0.026 -0.004
-5.042 6.139 -0.004
0.978 -0.218 3.401
```

Summary:
- Formation energy without anion corrections: -0.3316 eV per atom

---

no.,total energy (eV/atom)
1,-3.592
2,-5.257